1.
Computed, not measured: a geometry-optimized ScTaCoOs structure at the PBE-GGA level of DFT.

Geometry as CIF:
```
data_ScTaCoOs
_chemical_formula_sum 'Sc1 Ta1 Co1 Os1'
_cell_length_a 3.1493
_cell_length_b 3.1493
_cell_length_c 6.3578
_cell_angle_alpha 90.00
_cell_angle_beta 90.00
_cell_angle_gamma 90.00
_space_group_name_H-M_alt 'P 4 m m'
_space_group_IT_number 99
loop_
_space_group_symop_operation_xyz
'x,y,z'
'-y,x,z'
'-x,-y,z'
'y,-x,z'
'-x,y,z'
'y,x,z'
'x,-y,z'
'-y,-x,z'
loop_
_atom_site_label
_atom_site_type_symbol
_atom_site_fract_x
_atom_site_fract_y
_atom_site_fract_z
Sc1 Sc 0.0000 0.0000 0.0000
Ta1 Ta 0.0000 0.0000 0.5144
Co1 Co 0.5000 0.5000 0.7377
Os1 Os 0.5000 0.5000 0.2708
```

=====

2.
Computed, not measured: a geometry-optimized ScCo2TcOs structure at the PBE-GGA level of DFT.

## Properties
The calculation puts the energy above the most stable polymorph in this dataset at 0.00 eV per formula unit.

Geometry as CIF:
```
data_ScCo2TcOs
_chemical_formula_sum 'Sc1 Co2 Tc1 Os1'
_cell_length_a 4.4188
_cell_length_b 4.4188
_cell_length_c 4.8482
_cell_angle_alpha 90.00
_cell_angle_beta 90.00
_cell_angle_gamma 90.00
_space_group_name_H-M_alt 'P 4/m m m'
_space_group_IT_number 123
_space_group_name_Hall '-P 4 2'
loop_
_atom_site_label
_atom_site_type_symbol
_atom_site_fract_x
_atom_site_fract_y
_atom_site_fract_z
Sc1 Sc 0.0000 0.0000 0.0000
Co1 Co 0.0000 0.5000 0.5000
Tc1 Tc 0.5000 0.5000 0.0000
Os1 Os 0.0000 0.0000 0.5000
```

=====

3.
Computed, not measured: a geometry-optimized ScCoTcOs structure at the PBE-GGA level of DFT.

Geometry as CIF:
```
data_ScCoTcOs
_chemical_formula_sum 'Sc4 Co4 Tc4 Os4'
_cell_length_a 6.1655
_cell_length_b 6.1655
_cell_length_c 6.1655
_cell_angle_alpha 90.00
_cell_angle_beta 90.00
_cell_angle_gamma 90.00
_space_group_name_H-M_alt 'F -4 3 m'
_space_group_IT_number 216
_space_group_name_Hall 'F -4 2 3'
loop_
_atom_site_label
_atom_site_type_symbol
_atom_site_fract_x
_atom_site_fract_y
_atom_site_fract_z
Sc1 Sc 0.0000 0.0000 0.0000
Co1 Co 0.2500 0.2500 0.2500
Tc1 Tc 0.2500 0.2500 0.7500
Os1 Os 0.0000 0.0000 0.5000
```

=====

| no. | formation energy from the elements (kJ per mole of atoms) | magnetic moment (μB per cell) |
| --- | --- | --- |
| 1 | -36.0 | 0.6 |
| 2 | 131.3 | 3.6 |
| 3 | -3.5 | 6.7 |